*a*
Material: KNaAlN
Method: DFT, PBE
State: relaxed

CIF file:
```
data_KNaAlN
_chemical_formula_sum 'K2 Na2 Al2 N2'
_symmetry_space_group_name_H-M 'I m m 2'
_symmetry_Int_Tables_number 44
_cell_length_a 3.276
_cell_length_b 4.928
_cell_length_c 11.305
_cell_angle_alpha 90.00
_cell_angle_beta 90.00
_cell_angle_gamma 90.00
loop_
_symmetry_equiv_pos_as_xyz
'x,y,z'
'-x,-y,z'
'-x,y,z'
'x,-y,z'
'x+1/2,y+1/2,z+1/2'
'-x+1/2,-y+1/2,z+1/2'
'-x+1/2,y+1/2,z+1/2'
'x+1/2,-y+1/2,z+1/2'
loop_
_atom_site_label
_atom_site_type_symbol
_atom_site_fract_x
_atom_site_fract_y
_atom_site_fract_z
K1 K 0.000 0.000 0.000
Na1 Na 0.000 0.000 0.677
Al1 Al 0.000 0.000 0.298
N1 N 0.000 0.500 0.717
```



*b*
Material: KNaAlN
Method: DFT, PBE
State: relaxed

CIF file:
```
data_KNaAlN
_chemical_formula_sum 'K2 Na2 Al2 N2'
_symmetry_space_group_name_H-M 'C 1 m 1'
_symmetry_Int_Tables_number 8
_cell_length_a 5.628
_cell_length_b 3.251
_cell_length_c 9.282
_cell_angle_alpha 90.00
_cell_angle_beta 90.71
_cell_angle_gamma 90.00
loop_
_symmetry_equiv_pos_as_xyz
'x,y,z'
'x,-y,z'
'x+1/2,y+1/2,z'
'x+1/2,-y+1/2,z'
loop_
_atom_site_label
_atom_site_type_symbol
_atom_site_fract_x
_atom_site_fract_y
_atom_site_fract_z
K1 K 0.000 0.000 0.000
Na1 Na 0.180 0.500 0.602
Al1 Al 0.340 0.000 0.297
N1 N 0.172 0.500 0.238
```



The structure with the most favorable energy is *b*; the runner-up is 0.075 eV/atom above it.



*a*
Material: KNaAlN
Method: DFT, PBE
State: relaxed

CIF file:
```
data_KNaAlN
_chemical_formula_sum 'K2 Na2 Al2 N2'
_symmetry_space_group_name_H-M 'A m m 2'
_symmetry_Int_Tables_number 38
_cell_length_a 3.200
_cell_length_b 5.689
_cell_length_c 10.075
_cell_angle_alpha 90.00
_cell_angle_beta 90.00
_cell_angle_gamma 90.00
loop_
_symmetry_equiv_pos_as_xyz
'x,y,z'
'-x,-y,z'
'-x,y,z'
'x,-y,z'
'x,y+1/2,z+1/2'
'-x,-y+1/2,z+1/2'
'-x,y+1/2,z+1/2'
'x,-y+1/2,z+1/2'
loop_
_atom_site_label
_atom_site_type_symbol
_atom_site_fract_x
_atom_site_fract_y
_atom_site_fract_z
K1 K 0.000 0.000 0.000
Na1 Na 0.500 0.000 0.632
Al1 Al 0.500 0.000 0.341
N1 N 0.000 0.000 0.438
```



*b*
Material: KNaAlN
Method: DFT, PBE
State: relaxed

CIF file:
```
data_KNaAlN
_chemical_formula_sum 'K2 Na2 Al2 N2'
_symmetry_space_group_name_H-M 'C 1 m 1'
_symmetry_Int_Tables_number 8
_cell_length_a 5.626
_cell_length_b 3.249
_cell_length_c 9.488
_cell_angle_alpha 90.00
_cell_angle_beta 101.53
_cell_angle_gamma 90.00
loop_
_symmetry_equiv_pos_as_xyz
'x,y,z'
'x,-y,z'
'x+1/2,y+1/2,z'
'x+1/2,-y+1/2,z'
loop_
_atom_site_label
_atom_site_type_symbol
_atom_site_fract_x
_atom_site_fract_y
_atom_site_fract_z
K1 K 0.000 0.000 0.000
Na1 Na 0.037 0.500 0.603
Al1 Al 0.267 0.500 0.297
N1 N 0.414 0.000 0.238
```



The structure with the most favorable energy is *b*; the runner-up is 0.080 eV/atom above it.



*a*
Material: KAlSe2N
Method: DFT, PBE
State: relaxed

CIF file:
```
data_KAlSe2N
_chemical_formula_sum 'K1 Al1 Se2 N1'
_symmetry_space_group_name_H-M 'P 4/m m m'
_symmetry_Int_Tables_number 123
_symmetry_space_group_name_Hall '-P 4 2'
_cell_length_a 5.663
_cell_length_b 5.663
_cell_length_c 4.477
_cell_angle_alpha 90.00
_cell_angle_beta 90.00
_cell_angle_gamma 90.00
loop_
_atom_site_label
_atom_site_type_symbol
_atom_site_fract_x
_atom_site_fract_y
_atom_site_fract_z
K1 K 0.000 0.000 0.000
Al1 Al 0.500 0.500 0.500
Se1 Se 0.000 0.500 0.000
N1 N 0.000 0.000 0.500
```



*b*
Material: KAlSe2N
Method: DFT, PBE
State: relaxed

CIF file:
```
data_KAlSe2N
_chemical_formula_sum 'K1 Al1 Se2 N1'
_symmetry_space_group_name_H-M 'P 4/m m m'
_symmetry_Int_Tables_number 123
_symmetry_space_group_name_Hall '-P 4 2'
_cell_length_a 5.638
_cell_length_b 5.638
_cell_length_c 3.478
_cell_angle_alpha 90.00
_cell_angle_beta 90.00
_cell_angle_gamma 90.00
loop_
_atom_site_label
_atom_site_type_symbol
_atom_site_fract_x
_atom_site_fract_y
_atom_site_fract_z
K1 K 0.000 0.000 0.000
Al1 Al 0.500 0.500 0.500
Se1 Se 0.000 0.500 0.500
N1 N 0.500 0.500 0.000
```



The structure with the most favorable energy is *b*; the runner-up is 1.834 eV/atom above it.



*a*
Material: KAl2SnN
Method: DFT, PBE
State: relaxed

CIF file:
```
data_KAl2SnN
_chemical_formula_sum 'K1 Al2 Sn1 N1'
_symmetry_space_group_name_H-M 'P 4/m m m'
_symmetry_Int_Tables_number 123
_symmetry_space_group_name_Hall '-P 4 2'
_cell_length_a 4.368
_cell_length_b 4.368
_cell_length_c 5.504
_cell_angle_alpha 90.00
_cell_angle_beta 90.00
_cell_angle_gamma 90.00
loop_
_atom_site_label
_atom_site_type_symbol
_atom_site_fract_x
_atom_site_fract_y
_atom_site_fract_z
K1 K 0.000 0.000 0.000
Al1 Al 0.000 0.500 0.500
Sn1 Sn 0.500 0.500 0.000
N1 N 0.500 0.500 0.500
```



*b*
Material: KAl2SnN
Method: DFT, PBE
State: relaxed

CIF file:
```
data_KAl2SnN
_chemical_formula_sum 'K1 Al2 Sn1 N1'
_symmetry_space_group_name_H-M 'P 4/m m m'
_symmetry_Int_Tables_number 123
_symmetry_space_group_name_Hall '-P 4 2'
_cell_length_a 4.312
_cell_length_b 4.312
_cell_length_c 5.127
_cell_angle_alpha 90.00
_cell_angle_beta 90.00
_cell_angle_gamma 90.00
loop_
_atom_site_label
_atom_site_type_symbol
_atom_site_fract_x
_atom_site_fract_y
_atom_site_fract_z
K1 K 0.000 0.000 0.000
Al1 Al 0.000 0.500 0.500
Sn1 Sn 0.500 0.500 0.000
N1 N 0.000 0.000 0.500
```



The structure with the most favorable energy is *b*; the runner-up is 0.194 eV/atom above it.



*a*
Material: KAlTe2N
Method: DFT, PBE
State: relaxed

CIF file:
```
data_KAlTe2N
_chemical_formula_sum 'K1 Al1 Te2 N1'
_symmetry_space_group_name_H-M 'P 4/m m m'
_symmetry_Int_Tables_number 123
_symmetry_space_group_name_Hall '-P 4 2'
_cell_length_a 6.131
_cell_length_b 6.131
_cell_length_c 3.471
_cell_angle_alpha 90.00
_cell_angle_beta 90.00
_cell_angle_gamma 90.00
loop_
_atom_site_label
_atom_site_type_symbol
_atom_site_fract_x
_atom_site_fract_y
_atom_site_fract_z
K1 K 0.000 0.000 0.000
Al1 Al 0.500 0.500 0.500
Te1 Te 0.000 0.500 0.500
N1 N 0.500 0.500 0.000
```



*b*
Material: KAlTe2N
Method: DFT, PBE
State: relaxed

CIF file:
```
data_KAlTe2N
_chemical_formula_sum 'K1 Al1 Te2 N1'
_symmetry_space_group_name_H-M 'P 4/m m m'
_symmetry_Int_Tables_number 123
_symmetry_space_group_name_Hall '-P 4 2'
_cell_length_a 6.032
_cell_length_b 6.032
_cell_length_c 4.516
_cell_angle_alpha 90.00
_cell_angle_beta 90.00
_cell_angle_gamma 90.00
loop_
_atom_site_label
_atom_site_type_symbol
_atom_site_fract_x
_atom_site_fract_y
_atom_site_fract_z
K1 K 0.000 0.000 0.000
Al1 Al 0.500 0.500 0.500
Te1 Te 0.000 0.500 0.000
N1 N 0.000 0.000 0.500
```



The structure with the most favorable energy is *a*; the runner-up is 1.798 eV/atom above it.



*a*
Material: KNa3Al
Method: DFT, PBE
State: relaxed

CIF file:
```
data_KNa3Al
_chemical_formula_sum 'K1 Na3 Al1'
_symmetry_space_group_name_H-M 'P m -3 m'
_symmetry_Int_Tables_number 221
_symmetry_space_group_name_Hall '-P 4 2 3'
_cell_length_a 5.983
_cell_length_b 5.983
_cell_length_c 5.983
_cell_angle_alpha 90.00
_cell_angle_beta 90.00
_cell_angle_gamma 90.00
loop_
_atom_site_label
_atom_site_type_symbol
_atom_site_fract_x
_atom_site_fract_y
_atom_site_fract_z
K1 K 0.000 0.000 0.000
Na1 Na 0.000 0.500 0.500
Al1 Al 0.500 0.500 0.500
```



*b*
Material: KNa3Al
Method: DFT, PBE
State: relaxed

CIF file:
```
data_KNa3Al
_chemical_formula_sum 'K1 Na3 Al1'
_symmetry_space_group_name_H-M 'P m -3 m'
_symmetry_Int_Tables_number 221
_symmetry_space_group_name_Hall '-P 4 2 3'
_cell_length_a 6.159
_cell_length_b 6.159
_cell_length_c 6.159
_cell_angle_alpha 90.00
_cell_angle_beta 90.00
_cell_angle_gamma 90.00
loop_
_atom_site_label
_atom_site_type_symbol
_atom_site_fract_x
_atom_site_fract_y
_atom_site_fract_z
K1 K 0.000 0.000 0.000
Na1 Na 0.000 0.000 0.500
Al1 Al 0.500 0.500 0.500
```



The structure with the most favorable energy is *a*; the runner-up is 0.531 eV/atom above it.



*a*
Material: KNaAl3
Method: DFT, PBE
State: relaxed

CIF file:
```
data_KNaAl3
_chemical_formula_sum 'K1 Na1 Al3'
_symmetry_space_group_name_H-M 'P m -3 m'
_symmetry_Int_Tables_number 221
_symmetry_space_group_name_Hall '-P 4 2 3'
_cell_length_a 5.901
_cell_length_b 5.901
_cell_length_c 5.901
_cell_angle_alpha 90.00
_cell_angle_beta 90.00
_cell_angle_gamma 90.00
loop_
_atom_site_label
_atom_site_type_symbol
_atom_site_fract_x
_atom_site_fract_y
_atom_site_fract_z
K1 K 0.000 0.000 0.000
Na1 Na 0.500 0.500 0.500
Al1 Al 0.000 0.000 0.500
```



*b*
Material: KNaAl3
Method: DFT, PBE
State: relaxed

CIF file:
```
data_KNaAl3
_chemical_formula_sum 'K1 Na1 Al3'
_symmetry_space_group_name_H-M 'P m -3 m'
_symmetry_Int_Tables_number 221
_symmetry_space_group_name_Hall '-P 4 2 3'
_cell_length_a 5.447
_cell_length_b 5.447
_cell_length_c 5.447
_cell_angle_alpha 90.00
_cell_angle_beta 90.00
_cell_angle_gamma 90.00
loop_
_atom_site_label
_atom_site_type_symbol
_atom_site_fract_x
_atom_site_fract_y
_atom_site_fract_z
K1 K 0.000 0.000 0.000
Na1 Na 0.500 0.500 0.500
Al1 Al 0.000 0.500 0.500
```



The structure with the most favorable energy is *b*; the runner-up is 0.446 eV/atom above it.



*a*
Material: KNa2Al2
Method: DFT, PBE
State: relaxed

CIF file:
```
data_KNa2Al2
_chemical_formula_sum 'K2 Na4 Al4'
_symmetry_space_group_name_H-M 'P 4/m b m'
_symmetry_Int_Tables_number 127
_symmetry_space_group_name_Hall '-P 4 2ab'
_cell_length_a 9.354
_cell_length_b 9.354
_cell_length_c 3.295
_cell_angle_alpha 90.00
_cell_angle_beta 90.00
_cell_angle_gamma 90.00
loop_
_atom_site_label
_atom_site_type_symbol
_atom_site_fract_x
_atom_site_fract_y
_atom_site_fract_z
K1 K 0.000 0.000 0.000
Na1 Na 0.186 0.314 0.500
Al1 Al 0.101 0.601 0.000
```



*b*
Material: KNa2Al2
Method: DFT, PBE
State: relaxed

CIF file:
```
data_KNa2Al2
_chemical_formula_sum 'K2 Na4 Al4'
_symmetry_space_group_name_H-M 'I 4/m m m'
_symmetry_Int_Tables_number 139
_symmetry_space_group_name_Hall '-I 4 2'
_cell_length_a 5.336
_cell_length_b 5.336
_cell_length_c 11.999
_cell_angle_alpha 90.00
_cell_angle_beta 90.00
_cell_angle_gamma 90.00
loop_
_atom_site_label
_atom_site_type_symbol
_atom_site_fract_x
_atom_site_fract_y
_atom_site_fract_z
K1 K 0.000 0.000 0.000
Na1 Na 0.000 0.500 0.250
Al1 Al 0.000 0.000 0.395
```



The structure with the most favorable energy is *a*; the runner-up is 0.082 eV/atom above it.